1.
This record from the Alexandria database describes crystalline Ho3SbS6 at its relaxed geometry. The functional is PBE.

Structure (CIF):
```
data_Ho3SbS6
_cell_length_a 8.497
_cell_length_b 8.497
_cell_length_c 6.780
_cell_angle_alpha 90.00
_cell_angle_beta 90.00
_cell_angle_gamma 103.19
_symmetry_space_group_name_H-M 'P 1'
_symmetry_Int_Tables_number 1
loop_
_symmetry_equiv_pos_as_xyz
'x,y,z'
loop_
_atom_site_label
_atom_site_type_symbol
_atom_site_fract_x
_atom_site_fract_y
_atom_site_fract_z
Ho1 Ho 0.095 0.905 0.500
Ho2 Ho 0.214 0.415 0.593
Ho3 Ho 0.415 0.214 0.093
Ho4 Ho 0.585 0.786 0.593
Ho5 Ho 0.786 0.585 0.093
Ho6 Ho 0.905 0.095 0.000
Sb1 Sb 0.321 0.679 0.111
Sb2 Sb 0.679 0.321 0.611
S1 S 0.064 0.599 0.311
S2 S 0.135 0.195 0.292
S3 S 0.195 0.135 0.792
S4 S 0.269 0.731 0.729
S5 S 0.401 0.936 0.311
S6 S 0.489 0.511 0.361
S7 S 0.511 0.489 0.861
S8 S 0.599 0.064 0.811
S9 S 0.731 0.269 0.229
S10 S 0.805 0.865 0.292
S11 S 0.865 0.805 0.792
S12 S 0.936 0.401 0.811
```

SG: Cmc2_1, No. 36
formation energy from raw total energies: -1.563 eV per atom
crystal system: orthorhombic
M_tot: 0.0000 μB per atom
calculated total energy: -5.8250 eV/atom
offset from the most stable computed form: 0.20 eV/f.u.


2.
This record from the Alexandria database describes crystalline HoSbS3 at its relaxed geometry. The functional is PBE.

Structure (CIF):
```
data_HoSbS3
_cell_length_a 6.782
_cell_length_b 6.782
_cell_length_c 6.924
_cell_angle_alpha 90.00
_cell_angle_beta 90.00
_cell_angle_gamma 120.00
_symmetry_space_group_name_H-M 'P 1'
_symmetry_Int_Tables_number 1
loop_
_symmetry_equiv_pos_as_xyz
'x,y,z'
loop_
_atom_site_label
_atom_site_type_symbol
_atom_site_fract_x
_atom_site_fract_y
_atom_site_fract_z
Ho1 Ho 0.000 0.000 0.000
Ho2 Ho 0.000 0.000 0.500
Sb1 Sb 0.333 0.667 0.000
Sb2 Sb 0.333 0.667 0.500
S1 S 0.032 0.329 0.250
S2 S 0.032 0.703 0.750
S3 S 0.297 0.329 0.750
S4 S 0.297 0.968 0.250
S5 S 0.671 0.703 0.250
S6 S 0.671 0.968 0.750
```

SG: P-6c2, No. 188
formation energy from raw total energies: -0.997 eV per atom
crystal system: hexagonal
M_tot: 0.0000 μB per atom
calculated total energy: -5.2140 eV/atom
offset from the most stable computed form: 0.69 eV/f.u.


3.
This record from the Alexandria database describes crystalline HoSbS2 at its relaxed geometry. The functional is PBE.

Structure (CIF):
```
data_HoSbS2
_cell_length_a 3.950
_cell_length_b 3.950
_cell_length_c 25.161
_cell_angle_alpha 90.00
_cell_angle_beta 90.00
_cell_angle_gamma 120.00
_symmetry_space_group_name_H-M 'P 1'
_symmetry_Int_Tables_number 1
loop_
_symmetry_equiv_pos_as_xyz
'x,y,z'
loop_
_atom_site_label
_atom_site_type_symbol
_atom_site_fract_x
_atom_site_fract_y
_atom_site_fract_z
Ho1 Ho 0.000 0.000 0.000
Ho2 Ho 0.333 0.667 0.667
Ho3 Ho 0.667 0.333 0.333
Sb1 Sb 0.000 0.000 0.500
Sb2 Sb 0.333 0.667 0.167
Sb3 Sb 0.667 0.333 0.833
S1 S 0.000 0.000 0.106
S2 S 0.000 0.000 0.894
S3 S 0.333 0.667 0.561
S4 S 0.333 0.667 0.773
S5 S 0.667 0.333 0.227
S6 S 0.667 0.333 0.439
```

SG: R-3m, No. 166
formation energy from raw total energies: -0.403 eV per atom
crystal system: trigonal
M_tot: 0.0000 μB per atom
calculated total energy: -4.6416 eV/atom